No. 1
Below is a geometry-optimized Pr8Y3Pu structure, with properties calculated at the PBE level.

a b c (Å): 7.000 7.000 9.957
angles (deg): 97.19 97.19 119.04
Fractional coordinates of all 12 atoms:
Pr (0.171, 0.693, 0.664)
Pr (0.180, 0.180, 0.160)
Pr (0.307, 0.829, 0.336)
Pr (0.323, 0.323, 0.823)
Pr (0.677, 0.677, 0.177)
Pr (0.693, 0.171, 0.664)
Pr (0.820, 0.820, 0.840)
Pr (0.829, 0.307, 0.336)
Y (0.000, 0.500, 0.000)
Y (0.500, 0.000, 0.000)
Y (0.500, 0.500, 0.500)
Pu (0.000, 0.000, 0.500)

Output
**Symmetry**: C2/m
**Volume**: 34.45 Å³ per atom
**Total energy**: -70.39 eV/f.u.
**N(E_F)**: 25.9 states/eV per cell
**Formation energy from the elements**: 151 kJ/mol of formula units

No. 2
Below is a geometry-optimized AcSm12Tl6 structure, with properties calculated at the PBE level.

a b c (Å): 9.023 9.023 9.023
angles (deg): 102.98 102.98 102.98
Fractional coordinates of all 19 atoms:
Ac (0.000, 0.000, 0.000)
Sm (0.120, 0.500, 0.880)
Sm (0.120, 0.880, 0.500)
Sm (0.179, 0.446, 0.446)
Sm (0.446, 0.179, 0.446)
Sm (0.446, 0.446, 0.179)
Sm (0.500, 0.120, 0.880)
Sm (0.500, 0.880, 0.120)
Sm (0.554, 0.554, 0.821)
Sm (0.554, 0.821, 0.554)
Sm (0.821, 0.554, 0.554)
Sm (0.880, 0.120, 0.500)
Sm (0.880, 0.500, 0.120)
Tl (0.245, 0.245, 0.704)
Tl (0.245, 0.704, 0.245)
Tl (0.296, 0.755, 0.755)
Tl (0.704, 0.245, 0.245)
Tl (0.755, 0.296, 0.755)
Tl (0.755, 0.755, 0.296)

Output
**Symmetry**: R-3m
**Volume**: 35.14 Å³ per atom
**Total energy**: -75.88 eV/f.u.
**N(E_F)**: 30.9 states/eV per cell
**Formation energy from the elements**: -91 kJ/mol of formula units

No. 3
Below is a geometry-optimized CaCrRe2 structure, with properties calculated at the PBE level.

a b c (Å): 2.830 2.830 28.038
angles (deg): 90.00 90.00 120.00
Fractional coordinates of all 12 atoms:
Ca (0.000, 0.000, 0.000)
Ca (0.333, 0.667, 0.667)
Ca (0.667, 0.333, 0.333)
Cr (0.000, 0.000, 0.500)
Cr (0.333, 0.667, 0.167)
Cr (0.667, 0.333, 0.833)
Re (0.000, 0.000, 0.239)
Re (0.000, 0.000, 0.761)
Re (0.333, 0.667, 0.428)
Re (0.333, 0.667, 0.905)
Re (0.667, 0.333, 0.095)
Re (0.667, 0.333, 0.572)

Output
**Symmetry**: R-3m
**Volume**: 16.20 Å³ per atom
**E above lowest polymorph**: 142 meV/atom
**Total energy**: -34.04 eV/f.u.
**N(E_F)**: 16.6 states/eV per cell
**Formation energy from the elements**: 240 kJ/mol of formula units

No. 4
Below is a geometry-optimized FeNi2Pt2 structure, with properties calculated at the PBE level.

a b c (Å): 7.143 7.143 2.778
angles (deg): 90.00 90.00 90.00
Fractional coordinates of all 10 atoms:
Fe (0.000, 0.000, 0.000)
Fe (0.500, 0.500, 0.000)
Ni (0.160, 0.340, 0.500)
Ni (0.340, 0.840, 0.500)
Ni (0.660, 0.160, 0.500)
Ni (0.840, 0.660, 0.500)
Pt (0.139, 0.639, 0.000)
Pt (0.361, 0.139, 0.000)
Pt (0.639, 0.861, 0.000)
Pt (0.861, 0.361, 0.000)

Output
**Symmetry**: P4/mbm
**Volume**: 14.18 Å³ per atom
**E above lowest polymorph**: 136 meV/atom
**Total energy**: -31.53 eV/f.u.
**N(E_F)**: 12.7 states/eV per cell
**Formation energy from the elements**: 56 kJ/mol of formula units

No. 5
Below is a geometry-optimized Ce6BiRu3 structure, with properties calculated at the PBE level.

a b c (Å): 11.226 4.109 12.082
angles (deg): 90.00 104.74 90.00
Fractional coordinates of all 20 atoms:
Ce (0.005, 0.250, 0.123)
Ce (0.113, 0.750, 0.458)
Ce (0.204, 0.250, 0.760)
Ce (0.279, 0.250, 0.279)
Ce (0.330, 0.750, 0.041)
Ce (0.417, 0.250, 0.595)
Ce (0.583, 0.750, 0.405)
Ce (0.670, 0.250, 0.959)
Ce (0.721, 0.750, 0.721)
Ce (0.796, 0.750, 0.240)
Ce (0.887, 0.250, 0.542)
Ce (0.995, 0.750, 0.877)
Bi (0.452, 0.750, 0.819)
Bi (0.548, 0.250, 0.181)
Ru (0.023, 0.750, 0.663)
Ru (0.162, 0.250, 0.982)
Ru (0.344, 0.750, 0.424)
Ru (0.656, 0.250, 0.576)
Ru (0.838, 0.750, 0.018)
Ru (0.977, 0.250, 0.337)

Output
**Symmetry**: P2_1/m
**Volume**: 26.95 Å³ per atom
**Total energy**: -70.63 eV/f.u.
**N(E_F)**: 50.6 states/eV per cell
**Formation energy from the elements**: -320 kJ/mol of formula units

No. 6
Below is a geometry-optimized GdHF structure, with properties calculated at the PBE level.

a b c (Å): 3.759 3.759 5.774
angles (deg): 90.00 90.00 90.00
Fractional coordinates of all 6 atoms:
Gd (0.250, 0.250, 0.226)
Gd (0.750, 0.750, 0.774)
H (0.250, 0.750, 0.000)
H (0.750, 0.250, 0.000)
F (0.250, 0.750, 0.500)
F (0.750, 0.250, 0.500)

Output
**Symmetry**: P4/nmm
**Volume**: 13.60 Å³ per atom
**E above lowest polymorph**: 0 meV/atom
**Total energy**: -25.64 eV/f.u.
**N(E_F)**: 2.4 states/eV per cell

No. 7
Below is a geometry-optimized Ce3ErTm2P6 structure, with properties calculated at the PBE level.

a b c (Å): 6.971 6.971 6.948
angles (deg): 99.63 99.63 120.01
Fractional coordinates of all 12 atoms:
Ce (0.000, 0.000, 0.000)
Ce (0.333, 0.667, 0.000)
Ce (0.667, 0.333, 0.000)
Er (0.500, 0.500, 0.500)
Tm (0.167, 0.833, 0.500)
Tm (0.833, 0.167, 0.500)
P (0.085, 0.419, 0.257)
P (0.247, 0.247, 0.743)
P (0.419, 0.085, 0.257)
P (0.581, 0.915, 0.743)
P (0.753, 0.753, 0.257)
P (0.915, 0.581, 0.743)

Output
**Symmetry**: C2/m
**Volume**: 22.96 Å³ per atom
**Total energy**: -82.39 eV/f.u.
**N(E_F)**: 13.5 states/eV per cell
**Formation energy from the elements**: -1797 kJ/mol of formula units

No. 8
Below is a geometry-optimized CaAcH2 structure, with properties calculated at the PBE level.

a b c (Å): 3.695 3.695 19.654
angles (deg): 90.00 90.00 120.00
Fractional coordinates of all 12 atoms:
Ca (0.000, 0.000, 0.000)
Ca (0.333, 0.667, 0.667)
Ca (0.667, 0.333, 0.333)
Ac (0.000, 0.000, 0.826)
Ac (0.333, 0.667, 0.493)
Ac (0.667, 0.333, 0.159)
H (0.000, 0.000, 0.398)
H (0.000, 0.000, 0.600)
H (0.333, 0.667, 0.065)
H (0.333, 0.667, 0.266)
H (0.667, 0.333, 0.732)
H (0.667, 0.333, 0.933)

Output
**Symmetry**: R3m
**Volume**: 19.37 Å³ per atom
**E above lowest polymorph**: 201 meV/atom
**Total energy**: -13.49 eV/f.u.
**N(E_F)**: 6.1 states/eV per cell